1.
Computed, not measured: a relaxed structure of Ca2Sc at the GGA-PBE level of DFT.

The space group is Immm (No. 71) and the conventional cell measures 3.615, 5.137 and 11.226 Å, with angles of 90.00, 90.00 and 90.00 degrees. The asymmetric unit holds Ca at (0.000, 0.000, 0.160) and Sc at (0.000, 0.000, 0.500).

The crystal system is orthorhombic. The density of states at the Fermi level comes out at 1.765 states/eV/atom.


2.
Computed, not measured: a relaxed structure of Ce8CdIn2 at the GGA-PBE level of DFT.

The space group is P-1 (No. 2) and the conventional cell measures 5.349, 6.998 and 8.829 Å, with angles of 71.41, 74.85 and 87.61 degrees. The asymmetric unit holds Ce at (0.030, 0.186, 0.003), Ce at (0.216, 0.651, 0.630), Ce at (0.336, 0.625, 0.316), Ce at (0.365, 0.049, 0.218), Cd at (0.500, 0.500, 0.000) and In at (0.205, 0.159, 0.595).

The crystal system is triclinic. The density of states at the Fermi level comes out at 2.874 states/eV/atom.


3.
Computed, not measured: a relaxed structure of Rb2MgIrBr6 at the GGA-PBE level of DFT.

The space group is I4/mmm (No. 139) and the conventional cell measures 7.536, 7.536 and 10.641 Å, with angles of 90.00, 90.00 and 90.00 degrees. The asymmetric unit holds Rb at (0.000, 0.500, 0.250), Mg at (0.000, 0.000, 0.000), Ir at (0.000, 0.000, 0.500), Br at (0.000, 0.000, 0.257) and Br at (0.243, 0.243, 0.500).

The crystal system is tetragonal. The density of states at the Fermi level comes out at 0.234 states/eV/atom. Its formation energy (no corrections) is -1.003 eV/atom.


4.
Computed, not measured: a relaxed structure of NaSc2I6 at the GGA-PBE level of DFT.

The space group is P-31m (No. 162) and the conventional cell measures 7.4011, 7.4011 and 7.3350 Å, with angles of 90.00, 90.00 and 120.00 degrees. The asymmetric unit holds Na at (0.0000, 0.0000, 0.0000), Sc at (0.3333, 0.6667, 0.5000) and I at (0.0000, 0.3542, 0.7328).

The crystal system is trigonal. The density of states at the Fermi level comes out at 0.693 states/eV/atom. Its formation energy (no corrections) is -1.177 eV/atom.


5.
Computed, not measured: a relaxed structure of LaHg2Os at the GGA-PBE level of DFT.

The space group is Amm2 (No. 38) and the conventional cell measures 3.955, 4.242 and 11.631 Å, with angles of 90.00, 90.00 and 90.00 degrees. The asymmetric unit holds La at (0.000, 0.000, 0.000), Hg at (0.000, 0.000, 0.283), Hg at (0.500, 0.000, 0.689) and Os at (0.500, 0.000, 0.452).

The crystal system is orthorhombic. The density of states at the Fermi level comes out at 0.692 states/eV/atom.


6.
Computed, not measured: a relaxed structure of Fe4Ni7Ir at the GGA-PBE level of DFT.

The space group is P-1 (No. 2) and the conventional cell measures 4.406, 5.076 and 6.691 Å, with angles of 111.87, 90.68 and 90.05 degrees. The asymmetric unit holds Fe at (0.156, 0.316, 0.163), Fe at (0.336, 0.407, 0.835), Ni at (0.003, 0.753, 0.498), Ni at (0.166, 0.824, 0.163), Ni at (0.335, 0.918, 0.837), Ni at (0.500, 0.000, 0.500) and Ir at (0.500, 0.500, 0.500).

The crystal system is triclinic. The density of states at the Fermi level comes out at 1.016 states/eV/atom.


Computed uncorrected energy (eV per cell) in order:
-19.32; -55.13; -64.92; -33.87; -32.42; -83.60